# PmErZnSn PBE relaxed
# ρ in g cm⁻³: 8.2
# Density of states at the Fermi level in states/eV per atom: 0.50
# Energy relative to the elements in meV per atom: -497
# VASP energy in eV per cell: -66.32
data_PmErZnSn
_cell_length_a 7.394
_cell_length_b 7.394
_cell_length_c 7.394
_cell_angle_alpha 90.00
_cell_angle_beta 90.00
_cell_angle_gamma 90.00
_symmetry_space_group_name_H-M 'F -4 3 m'
_symmetry_Int_Tables_number 216
_symmetry_space_group_name_Hall 'F -4 2 3'
loop_
_atom_site_label
_atom_site_fract_x
_atom_site_fract_y
_atom_site_fract_z
Pm1 0.000 0.000 0.000
Er1 0.000 0.000 0.500
Zn1 0.250 0.250 0.250
Sn1 0.250 0.250 0.750

# AcTh2Pb9 PBE relaxed
# ρ in g cm⁻³: 11.6
# Density of states at the Fermi level in states/eV per atom: 0.95
# Energy relative to the elements in meV per atom: -285
# VASP energy in eV per cell: -55.75
data_AcTh2Pb9
_cell_length_a 4.959
_cell_length_b 4.959
_cell_length_c 14.883
_cell_angle_alpha 90.00
_cell_angle_beta 90.00
_cell_angle_gamma 90.00
_symmetry_space_group_name_H-M 'P 4/m m m'
_symmetry_Int_Tables_number 123
_symmetry_space_group_name_Hall '-P 4 2'
loop_
_atom_site_label
_atom_site_fract_x
_atom_site_fract_y
_atom_site_fract_z
Ac1 0.000 0.000 0.000
Th1 0.000 0.000 0.339
Pb1 0.000 0.500 0.174
Pb2 0.000 0.500 0.500
Pb3 0.500 0.500 0.000
Pb4 0.500 0.500 0.336

Question: Look up the ρ of the first one.
Answer: 8.2 g cm⁻³

Repeat the first record exactly.
# PmErZnSn PBE relaxed
# ρ in g cm⁻³: 8.2
# Density of states at the Fermi level in states/eV per atom: 0.50
# Energy relative to the elements in meV per atom: -497
# VASP energy in eV per cell: -66.32
data_PmErZnSn
_cell_length_a 7.394
_cell_length_b 7.394
_cell_length_c 7.394
_cell_angle_alpha 90.00
_cell_angle_beta 90.00
_cell_angle_gamma 90.00
_symmetry_space_group_name_H-M 'F -4 3 m'
_symmetry_Int_Tables_number 216
_symmetry_space_group_name_Hall 'F -4 2 3'
loop_
_atom_site_label
_atom_site_fract_x
_atom_site_fract_y
_atom_site_fract_z
Pm1 0.000 0.000 0.000
Er1 0.000 0.000 0.500
Zn1 0.250 0.250 0.250
Sn1 0.250 0.250 0.750